1.
The following is a DFT calculation (PBE) of a geometry-optimized Nb2FeHPd structure.

Values from the calculation:
E_tot in eV/atom: -7.485
Volume in Å³ per atom: 13.20
Density of states at the Fermi level in states/eV/f.u.: 4.84
Energy above the lowest structure with this stoichiometry in meV per atom: 51
Total magnetization in Bohr magnetons per cell: 1.8

Cell lengths 4.074, 4.074, 3.974 Å; angles 90.00, 90.00, 90.00 degrees
Fractional coordinates of all 5 atoms:
H1 0.000 0.000 0.000
Nb1 0.000 0.500 0.000
Nb2 0.500 0.000 0.000
Fe1 0.500 0.500 0.500
Pd1 0.000 0.000 0.500

---

2.
The following is a DFT calculation (PBE) of a geometry-optimized Ag2BiI8 structure.

Values from the calculation:
E_tot in eV/atom: -2.014
ΔE_f (raw) in meV per atom: -15.7
Volume in Å³ per atom: 44.74
Density of states at the Fermi level in states/eV/f.u.: 16.05
Total magnetization in Bohr magnetons per cell: 0.0

Cell lengths 8.211, 8.320, 8.320 Å; angles 120.00, 90.00, 90.00 degrees
Fractional coordinates of all 11 atoms:
Ag1 0.897 0.667 0.333
Ag2 0.103 0.333 0.667
Bi1 0.500 0.000 0.000
I1 0.774 0.333 0.667
I2 0.226 0.667 0.333
I3 0.238 0.155 0.310
I4 0.762 0.845 0.690
I5 0.762 0.310 0.155
I6 0.238 0.690 0.845
I7 0.238 0.155 0.845
I8 0.762 0.845 0.155

---

3.
The following is a DFT calculation (PBE) of a geometry-optimized ZrCrOs2 structure.

Values from the calculation:
E_tot in eV/atom: -10.084
Volume in Å³ per atom: 15.40
ΔE_f in eV per atom: 0.07
Density of states at the Fermi level in states/eV/f.u.: 4.23
Total magnetization in Bohr magnetons per cell: 0.0

Cell lengths 5.324, 5.324, 5.324 Å; angles 147.86, 129.23, 61.37 degrees
Fractional coordinates of all 4 atoms:
Cr1 0.250 0.750 0.500
Os1 0.029 0.029 0.000
Os2 0.471 0.471 0.000
Zr1 0.750 0.250 0.500

---

Please write out number 2 again, unchanged.
The following is a DFT calculation (PBE) of a geometry-optimized Ag2BiI8 structure.

Values from the calculation:
E_tot in eV/atom: -2.014
ΔE_f (raw) in meV per atom: -15.7
Volume in Å³ per atom: 44.74
Density of states at the Fermi level in states/eV/f.u.: 16.05
Total magnetization in Bohr magnetons per cell: 0.0

Cell lengths 8.211, 8.320, 8.320 Å; angles 120.00, 90.00, 90.00 degrees
Fractional coordinates of all 11 atoms:
Ag1 0.897 0.667 0.333
Ag2 0.103 0.333 0.667
Bi1 0.500 0.000 0.000
I1 0.774 0.333 0.667
I2 0.226 0.667 0.333
I3 0.238 0.155 0.310
I4 0.762 0.845 0.690
I5 0.762 0.310 0.155
I6 0.238 0.690 0.845
I7 0.238 0.155 0.845
I8 0.762 0.845 0.155